1.
Density functional theory data (GGA-PBEsol) for a geometry-optimized LiCrIn3 structure.

Computed properties:
Its crystal system is cubic. The calculation puts the formation energy at 597 meV per atom.

Cell: 4.8272 4.8272 4.8272 Å, 90.00 90.00 90.00°
Closest atoms and distances in Å follow each position.
Space group Pm-3m (No. 221)
Unique sites:
1 Li 0.0000 0.0000 0.0000  6 In 2.41
2 Cr 0.5000 0.5000 0.5000  12 In 3.41
3 In 0.0000 0.0000 0.5000  2 Li 2.41



2.
Density functional theory data (GGA-PBEsol) for a geometry-optimized HfAl2Tc2 structure.

Computed properties:
Its crystal system is tetragonal. The calculation puts the formation energy at -328 meV per atom.

Cell: 6.9960 6.9960 3.1296 Å, 90.00 90.00 90.00°
Closest atoms and distances in Å follow each position.
Space group P4/mbm (No. 127)
Unique sites:
1 Hf 0.0000 0.0000 0.0000  4 Al 2.76, 8 Tc 3.04
2 Al 0.1269 0.3731 0.0000  1 Al 2.51, 6 Tc 2.56-2.61, 2 Hf 2.76
3 Tc 0.1687 0.6687 0.5000  6 Al 2.56-2.61